No. 1
Compound: Be3Cd2Sn2
Source: OQMD
Functional: PBE
Structure: optimized geometry

Results
For the uncorrected energy, the calculation gives -2.543 eV per atom. Its crystal system is orthorhombic.

a b c (Å): 11.6982 11.6982 3.0160
angles (deg): 90.00 90.00 162.36
With the nearest neighbours (Å) after each atom.
Fractional coordinates of all 7 atoms:
Be1 0.0000 0.0000 0.0000  4 Be 2.70-3.02, 8 Cd 2.73
Be2 0.1170 0.8830 0.0000  4 Cd 2.68, 1 Be 2.70, 4 Sn 2.88
Be3 0.8830 0.1170 0.0000  4 Cd 2.68, 1 Be 2.70, 4 Sn 2.88
Cd1 0.4390 0.5610 0.5000  8 Be 2.68-2.73, 1 Cd 2.82, 1 Sn 2.97
Cd2 0.5610 0.4390 0.5000  8 Be 2.68-2.73, 1 Cd 2.82, 1 Sn 2.97
Sn1 0.3105 0.6895 0.5000  4 Be 2.88, 1 Cd 2.97, 2 Sn 3.02
Sn2 0.6895 0.3105 0.5000  4 Be 2.88, 1 Cd 2.97, 2 Sn 3.02

***

No. 2
Compound: MgScCuB
Source: OQMD
Functional: PBE
Structure: optimized geometry

Results
For the uncorrected energy, the calculation gives -4.156 eV per atom. Its crystal system is cubic.

a b c (Å): 4.2713 4.2713 4.2713
angles (deg): 60.00 60.00 60.00
With the nearest neighbours (Å) after each atom.
Fractional coordinates of all 4 atoms:
Mg1 0.0000 0.0000 0.0000  4 Sc 2.62, 4 B 2.62
Sc1 0.7500 0.7500 0.7500  4 Mg 2.62, 4 Cu 2.62
Cu1 0.5000 0.5000 0.5000  4 Sc 2.62, 4 B 2.62
B1 0.2500 0.2500 0.2500  4 Mg 2.62, 4 Cu 2.62

***

No. 3
Compound: AsAu8
Source: OQMD
Functional: PBE
Structure: optimized geometry

Results
For the uncorrected energy, the calculation gives -3.336 eV per atom. Its crystal system is monoclinic.

a b c (Å): 4.8946 4.8946 27.9273
angles (deg): 90.21 90.21 47.98
With the nearest neighbours (Å) after each atom.
Fractional coordinates of all 18 atoms:
As1 0.0756 0.0756 0.2084  6 Au 2.62-2.85
As2 0.9244 0.9244 0.7916  6 Au 2.62-2.85
Au1 0.0532 0.0532 0.5528  12 Au 2.83-3.15
Au2 0.1431 0.1431 0.3042  1 As 2.74, 8 Au 2.85-2.97
Au3 0.1553 0.1553 0.6607  11 Au 2.85-3.15
Au4 0.2392 0.2392 0.7759  3 As 2.62-2.85, 2 Au 2.83
Au5 0.2451 0.2451 0.4098  12 Au 2.84-3.15
Au6 0.3502 0.3502 0.5178  12 Au 2.83-3.15
Au7 0.4429 0.4429 0.2664  8 Au 2.83-3.08, 2 As 2.83
Au8 0.4561 0.4561 0.6238  11 Au 2.84-3.11
Au9 0.5439 0.5439 0.3762  11 Au 2.84-3.11
Au10 0.5571 0.5571 0.7336  8 Au 2.83-3.08, 2 As 2.83
Au11 0.6498 0.6498 0.4822  12 Au 2.83-3.15
Au12 0.7549 0.7549 0.5902  12 Au 2.84-3.15
Au13 0.7608 0.7608 0.2241  3 As 2.62-2.85, 2 Au 2.83
Au14 0.8447 0.8447 0.3393  11 Au 2.85-3.15
Au15 0.8569 0.8569 0.6958  1 As 2.74, 8 Au 2.85-2.97
Au16 0.9468 0.9468 0.4472  12 Au 2.83-3.15

***

Please write out number 2 again, unchanged.
Compound: MgScCuB
Source: OQMD
Functional: PBE
Structure: optimized geometry

Results
For the uncorrected energy, the calculation gives -4.156 eV per atom. Its crystal system is cubic.

a b c (Å): 4.2713 4.2713 4.2713
angles (deg): 60.00 60.00 60.00
With the nearest neighbours (Å) after each atom.
Fractional coordinates of all 4 atoms:
Mg1 0.0000 0.0000 0.0000  4 Sc 2.62, 4 B 2.62
Sc1 0.7500 0.7500 0.7500  4 Mg 2.62, 4 Cu 2.62
Cu1 0.5000 0.5000 0.5000  4 Sc 2.62, 4 B 2.62
B1 0.2500 0.2500 0.2500  4 Mg 2.62, 4 Cu 2.62